4
Lattice="4.043 0.000 0.000 -2.021 3.501 0.000 -2.021 -1.167 7.795" Properties=species:S:1:pos:R:3 comment="PmYRhBr (PBE-GGA, optimized geometry)" formation_energy_uncorrected_ev_per_atom=-1.0568 crystal_system=trigonal dos_ef_per_ev_cell=0.6 pbc="T T T"
Pm 0.382 -0.257 5.282
Y -1.639 3.244 0.494
Rh -1.639 0.910 6.811
Br 2.404 0.912 2.766

20
Lattice="-5.892 7.270 -1.704 4.063 -2.225 -8.308 -5.442 -7.408 2.447" Properties=species:S:1:pos:R:3 comment="Pm7RuBr12 (PBE-GGA, optimized geometry)" formation_energy_uncorrected_ev_per_atom=-1.5880 crystal_system=trigonal dos_ef_per_ev_cell=11.8 pbc="T T T"
Pm -7.866 -1.058 -5.218
Pm -1.506 1.882 -1.323
Pm -2.202 -1.590 0.430
Pm -3.636 -1.181 -3.783
Pm -5.069 -0.773 -7.995
Pm -5.765 -4.245 -6.242
Pm 0.595 -1.304 -2.347
Ru 0.000 0.000 0.000
Br -8.411 0.248 -2.338
Br -3.503 3.913 -2.802
Br -4.089 0.158 -1.252
Br -5.320 0.664 -5.252
Br -4.694 -3.596 0.688
Br -5.989 -2.852 -3.511
Br -1.282 0.489 -4.054
Br -2.577 1.233 -8.253
Br -1.951 -3.027 -2.313
Br -3.182 -2.521 -6.313
Br -3.769 -6.276 -4.763
Br 1.140 -2.610 -5.227